Record 1
Density functional theory data (PBE-GGA) for a geometry-optimized Cs2AcNp3O12 structure.

Results
- E_tot: -153.76 eV/cell
- D(E_F): 11.234 states/eV per cell
- E_form (uncorrected): -2.757 eV per atom
- Space-group type: R-3m, No. 166

a b c (Å): 7.810 7.810 7.810
angles (deg): 63.00 63.00 63.00
Atoms (fractional coordinates):
Cs: 0.118 0.118 0.118
Cs: 0.882 0.882 0.882
Ac: 0.500 0.500 0.500
Np: 0.000 0.500 0.500
Np: 0.500 0.000 0.500
Np: 0.500 0.500 0.000
O: 0.119 0.596 0.596
O: 0.209 0.209 0.580
O: 0.209 0.580 0.209
O: 0.404 0.404 0.881
O: 0.404 0.881 0.404
O: 0.420 0.791 0.791
O: 0.580 0.209 0.209
O: 0.596 0.119 0.596
O: 0.596 0.596 0.119
O: 0.791 0.420 0.791
O: 0.791 0.791 0.420
O: 0.881 0.404 0.404

Record 2
Density functional theory data (PBE-GGA) for a geometry-optimized Cs2AcNpO6 structure.

Results
- E_tot: -148.40 eV/cell
- E_form (uncorrected): -2.569 eV per atom
- Space-group type: R-3m, No. 166

a b c (Å): 11.567 11.567 11.567
angles (deg): 34.08 34.08 34.08
Atoms (fractional coordinates):
Cs: 0.132 0.132 0.132
Cs: 0.266 0.266 0.266
Cs: 0.734 0.734 0.734
Cs: 0.868 0.868 0.868
Ac: 0.398 0.398 0.398
Ac: 0.602 0.602 0.602
Np: 0.000 0.000 0.000
Np: 0.500 0.500 0.500
O: 0.178 0.178 0.752
O: 0.178 0.752 0.178
O: 0.192 0.594 0.594
O: 0.248 0.822 0.822
O: 0.406 0.406 0.808
O: 0.406 0.808 0.406
O: 0.594 0.192 0.594
O: 0.594 0.594 0.192
O: 0.752 0.178 0.178
O: 0.808 0.406 0.406
O: 0.822 0.248 0.822
O: 0.822 0.822 0.248

Record 3
Density functional theory data (PBE-GGA) for a geometry-optimized Cs4AcNp3O12 structure.

Results
- E_tot: -158.35 eV/cell
- D(E_F): 6.696 states/eV per cell
- E_form (uncorrected): -2.625 eV per atom
- Space-group type: Im-3m, No. 229

a b c (Å): 7.760 7.760 7.760
angles (deg): 109.47 109.47 109.47
Atoms (fractional coordinates):
Cs: 0.000 0.000 0.500
Cs: 0.000 0.500 0.000
Cs: 0.500 0.000 0.000
Cs: 0.500 0.500 0.500
Ac: 0.000 0.000 0.000
Np: 0.000 0.500 0.500
Np: 0.500 0.000 0.500
Np: 0.500 0.500 0.000
O: 0.000 0.278 0.278
O: 0.000 0.722 0.722
O: 0.250 0.500 0.750
O: 0.250 0.750 0.500
O: 0.278 0.000 0.278
O: 0.278 0.278 0.000
O: 0.500 0.250 0.750
O: 0.500 0.750 0.250
O: 0.722 0.000 0.722
O: 0.722 0.722 0.000
O: 0.750 0.250 0.500
O: 0.750 0.500 0.250

Record 4
Density functional theory data (PBE-GGA) for a geometry-optimized Cs2Ac2NpO6 structure.

Results
- E_tot: -81.68 eV/cell
- D(E_F): 10.224 states/eV per cell
- E_form (uncorrected): -2.642 eV per atom
- Space-group type: C2/m, No. 12

a b c (Å): 6.531 6.531 7.343
angles (deg): 97.68 97.68 119.59
Atoms (fractional coordinates):
Cs: 0.164 0.836 0.000
Cs: 0.836 0.164 0.000
Ac: 0.335 0.665 0.500
Ac: 0.665 0.335 0.500
Np: 0.000 0.000 0.500
O: 0.041 0.354 0.656
O: 0.243 0.243 0.339
O: 0.354 0.041 0.656
O: 0.646 0.959 0.344
O: 0.757 0.757 0.661
O: 0.959 0.646 0.344

Look up the E_tot of the second one. -148.40 eV/cell

The lowest E_tot belongs to which entry? Cs4AcNp3O12